TcAgSe2 | GGA-PBE | optimized geometry

Cell lengths 6.584, 6.584, 5.683 Å; angles 54.60, 54.60, 90.00 degrees
Atoms (fractional coordinates):
Se 0.750 0.250 0.000
Se 0.250 0.750 0.000
Se 0.250 0.250 0.000
Se 0.750 0.750 0.000
Tc 0.750 0.750 0.500
Tc 0.250 0.250 0.500
Ag 0.750 0.250 0.500
Ag 0.250 0.750 0.500

Values from the calculation:
V, A^3/atom: 17.66
Uncorrected formation energy, eV/atom: 0.42
DOS(E_F), states/eV/cell: 6.81
Crystal system: tetragonal